! NaPr2Hg PBE-GGA optimized geometry; values from VASP
&SYSTEM
  ibrav = 0, nat = 4, ntyp = 3
/
ATOMIC_SPECIES
Na 22.99 Na.upf
Pr 140.91 Pr.upf
Hg 200.59 Hg.upf
ATOMIC_POSITIONS angstrom
Na 0.000 0.000 0.000
Pr 1.942 1.942 2.416
Pr 1.942 1.942 6.092
Hg 0.000 0.000 4.254
CELL_PARAMETERS angstrom
3.885 0.000 0.000
0.000 3.885 0.000
0.000 0.000 8.508
! DOS(E_F), states/eV/f.u.: 4.576
! Volume, Å³/cell: 128
! Size of the total moment, Bohr magnetons per cell: 0.76
! Space group: P4/mmm
! Total energy, eV/atom: -2.902